Entry 1:
The following is a GGA-PBE calculation of an optimized crystal structure of La2Tm8In, from the Alexandria database.

Properties
formation energy from the elements: -0.03 eV per atom

Unit cell a=18.669 b=5.332 c=6.857 alpha=90.00 beta=95.14 gamma=90.00
Space group C2/m (No. 12)
Unique sites:
1 La 0.220 0.000 0.166 x4
2 Tm 0.036 0.000 0.245 x4
3 Tm 0.089 0.500 0.924 x4
4 Tm 0.155 0.000 0.671 x4
5 Tm 0.158 0.500 0.407 x4
6 In 0.000 0.500 0.500 x2



Entry 2:
The following is a GGA-PBE calculation of an optimized crystal structure of SiTePb, from the Alexandria database.

Properties
energy relative to the elements, uncorrected: 409 meV/atom
relative energy among the computed polymorphs: 4.98 kcal/mol of atoms

Unit cell a=3.733 b=6.079 c=14.475 alpha=90.00 beta=90.00 gamma=90.00
Space group Fmm2 (No. 42)
Unique sites:
1 Si 0.000 0.000 0.000 x4
2 Te 0.000 0.000 0.631 x4
3 Pb 0.000 0.000 0.332 x4



Entry 3:
The following is a GGA-PBE calculation of an optimized crystal structure of Sc4Co3Sb4, from the Alexandria database.

Properties
energy relative to the elements, uncorrected: -686 meV/atom

Unit cell a=6.876 b=4.290 c=7.305 alpha=90.00 beta=90.42 gamma=90.00
Space group Pm (No. 6)
Unique sites:
1 Sc 0.000 0.000 0.000 x1
2 Sc 0.001 0.500 0.447 x1
3 Sc 0.498 0.000 0.944 x1
4 Sc 0.512 0.500 0.509 x1
5 Co 0.358 0.500 0.158 x1
6 Co 0.644 0.000 0.296 x1
7 Co 0.852 0.500 0.796 x1
8 Sb 0.226 0.500 0.815 x1
9 Sb 0.266 0.000 0.327 x1
10 Sb 0.733 0.500 0.127 x1
11 Sb 0.771 0.000 0.631 x1



Entry 4:
The following is a GGA-PBE calculation of an optimized crystal structure of PmTmTl3, from the Alexandria database.

Properties
formation energy from the elements: -0.21 eV per atom

Unit cell a=11.958 b=11.180 c=8.686 alpha=90.00 beta=90.00 gamma=90.00
Space group Cmce (No. 64)
Unique sites:
1 Pm 0.000 0.157 0.079 x8
2 Tm 0.250 0.114 0.750 x8
3 Tl 0.000 0.082 0.719 x8
4 Tl 0.166 0.138 0.405 x16